# CrSb2TeS | the Alexandria database | PBE-GGA | optimized geometry
data_CrSb2TeS
_chemical_formula_sum 'Cr1 Sb2 Te1 S1'
_symmetry_space_group_name_H-M 'P 4/m m m'
_symmetry_Int_Tables_number 123
_symmetry_space_group_name_Hall '-P 4 2'
_cell_length_a 5.021
_cell_length_b 5.021
_cell_length_c 4.863
_cell_angle_alpha 90.00
_cell_angle_beta 90.00
_cell_angle_gamma 90.00
loop_
_atom_site_label
_atom_site_type_symbol
_atom_site_fract_x
_atom_site_fract_y
_atom_site_fract_z
_atom_site_occupancy
Cr1 Cr 0.000 0.000 0.000 1
Sb1 Sb 0.000 0.500 0.000 1
Te1 Te 0.000 0.000 0.500 1
S1 S 0.500 0.500 0.500 1
# Volume = 122.6 Å³ per cell
# Formation energy without anion corrections = 0.442 eV/atom
# Crystal system = tetragonal

---

# LiHoSnI6 | the Alexandria database | PBE-GGA | optimized geometry
data_LiHoSnI6
_chemical_formula_sum 'Li2 Ho2 Sn2 I12'
_symmetry_space_group_name_H-M 'P -3 1 c'
_symmetry_Int_Tables_number 163
_symmetry_space_group_name_Hall '-P 3 2c'
_cell_length_a 7.6349
_cell_length_b 7.6349
_cell_length_c 14.0657
_cell_angle_alpha 90.00
_cell_angle_beta 90.00
_cell_angle_gamma 120.00
loop_
_atom_site_label
_atom_site_type_symbol
_atom_site_fract_x
_atom_site_fract_y
_atom_site_fract_z
_atom_site_occupancy
Li1 Li 0.3333 0.6667 0.2500 1
Ho1 Ho 0.3333 0.6667 0.7500 1
Sn1 Sn 0.0000 0.0000 0.0000 1
I1 I 0.0023 0.3508 0.1282 1
# Volume = 710.1 Å³ per cell
# Formation energy without anion corrections = -1.011 eV/atom
# Crystal system = trigonal

---

# BaTaCo2 | the Alexandria database | PBE-GGA | optimized geometry
data_BaTaCo2
_chemical_formula_sum 'Ba1 Ta1 Co2'
_symmetry_space_group_name_H-M 'P 4/m m m'
_symmetry_Int_Tables_number 123
_symmetry_space_group_name_Hall '-P 4 2'
_cell_length_a 3.162
_cell_length_b 3.162
_cell_length_c 7.586
_cell_angle_alpha 90.00
_cell_angle_beta 90.00
_cell_angle_gamma 90.00
loop_
_atom_site_label
_atom_site_type_symbol
_atom_site_fract_x
_atom_site_fract_y
_atom_site_fract_z
_atom_site_occupancy
Ba1 Ba 0.000 0.000 0.000 1
Ta1 Ta 0.000 0.000 0.500 1
Co1 Co 0.500 0.500 0.328 1
# DFT formation energy = 266 meV per atom
# Volume = 75.9 Å³ per cell
# Crystal system = tetragonal

---

no.,density (g cm⁻³)
1,6.16
2,4.92
3,9.55